Crystalline LaIn2Si at its relaxed geometry, computed with PBE.

POSCAR file:
```
LaIn2Si
1.0
5.085 0.000 0.000
0.000 5.658 0.000
0.000 0.000 7.094
La In Si
2 4 2
Cartesian
0.000 0.000 0.000
2.542 2.829 0.000
0.000 0.000 3.847
0.000 2.829 2.211
2.542 0.000 2.211
2.542 2.829 3.847
0.000 2.829 5.206
2.542 0.000 5.206
```

Results
density of states at the Fermi level	4.853	states/eV per cell
space-group type	Cmm2, No. 35
formation energy without anion corrections	-74	kJ/mol of formula units
uncorrected energy	-4.149	eV per atom


Crystalline LaInSi at its relaxed geometry, computed with PBE.

POSCAR file:
```
LaInSi
1.0
4.406 0.000 0.000
-2.203 3.816 0.000
0.000 0.000 4.673
La In Si
1 1 1
Cartesian
0.000 0.000 0.000
2.203 1.272 2.598
0.000 2.544 1.794
```

Results
density of states at the Fermi level	0.347	states/eV per cell
space-group type	P3m1, No. 156
formation energy without anion corrections	-148	kJ/mol of formula units
uncorrected energy	-4.873	eV per atom


Crystalline LaInSi3 at its relaxed geometry, computed with PBE.

POSCAR file:
```
LaInSi3
1.0
5.583 0.000 0.000
0.000 5.583 0.000
0.000 0.000 5.583
La In Si
1 1 3
Cartesian
0.000 0.000 0.000
2.791 2.791 2.791
0.000 0.000 2.791
0.000 2.791 0.000
2.791 0.000 0.000
```

Results
density of states at the Fermi level	4.566	states/eV per cell
space-group type	Pm-3m, No. 221
formation energy without anion corrections	551	kJ/mol of formula units
uncorrected energy	-3.645	eV per atom


Crystalline LaIn3Si at its relaxed geometry, computed with PBE.

POSCAR file:
```
LaIn3Si
1.0
5.999 0.000 0.000
0.000 5.999 0.000
0.000 0.000 5.999
La In Si
1 3 1
Cartesian
0.000 0.000 0.000
0.000 0.000 3.000
0.000 3.000 0.000
3.000 0.000 0.000
3.000 3.000 3.000
```

Results
density of states at the Fermi level	2.929	states/eV per cell
space-group type	Pm-3m, No. 221
formation energy without anion corrections	538	kJ/mol of formula units
uncorrected energy	-2.597	eV per atom


Crystalline LaIn2Si at its relaxed geometry, computed with PBE.

POSCAR file:
```
LaIn2Si
1.0
4.580 0.000 0.000
0.000 4.580 0.000
0.000 0.000 9.692
La In Si
2 4 2
Cartesian
0.000 0.000 0.000
2.290 2.290 4.846
0.000 0.000 4.846
0.000 2.290 2.423
2.290 0.000 7.269
2.290 2.290 0.000
0.000 2.290 7.269
2.290 0.000 2.423
```

Results
density of states at the Fermi level	7.132	states/eV per cell
space-group type	I-4m2, No. 119
formation energy without anion corrections	-85	kJ/mol of formula units
uncorrected energy	-4.177	eV per atom


Crystalline La3InSi at its relaxed geometry, computed with PBE.

POSCAR file:
```
La3InSi
1.0
5.901 0.000 0.000
0.000 5.901 0.000
0.000 0.000 5.901
La In Si
3 1 1
Cartesian
0.000 0.000 2.950
0.000 2.950 0.000
2.950 0.000 0.000
0.000 0.000 0.000
2.950 2.950 2.950
```

Results
density of states at the Fermi level	1.488	states/eV per cell
space-group type	Pm-3m, No. 221
formation energy without anion corrections	211	kJ/mol of formula units
uncorrected energy	-4.152	eV per atom


Crystalline La2InSi2 at its relaxed geometry, computed with PBE.

POSCAR file:
```
La2InSi2
1.0
7.706 0.000 0.000
0.000 14.988 0.000
0.000 0.000 4.413
La In Si
8 4 8
Cartesian
0.859 3.257 0.000
1.908 14.463 0.000
1.945 6.969 0.000
2.994 10.752 0.000
4.712 4.237 0.000
5.761 8.019 0.000
5.798 0.525 0.000
6.846 11.731 0.000
0.504 9.345 2.206
3.349 1.851 2.206
4.357 13.137 2.206
7.202 5.643 2.206
0.392 1.131 2.206
1.370 12.234 2.206
2.483 4.740 2.206
3.461 8.625 2.206
4.245 6.363 2.206
5.223 10.248 2.206
6.336 2.754 2.206
7.314 13.857 2.206
```

Results
density of states at the Fermi level	9.008	states/eV per cell
space-group type	Pbam, No. 55
formation energy without anion corrections	-336	kJ/mol of formula units
uncorrected energy	-5.384	eV per atom


Crystalline LaIn2Si at its relaxed geometry, computed with PBE.

POSCAR file:
```
LaIn2Si
1.0
3.500 0.000 0.000
-1.750 3.031 0.000
0.000 0.000 29.558
La In Si
3 6 3
Cartesian
0.000 0.000 0.000
0.000 2.021 19.705
1.750 1.010 9.853
0.000 0.000 6.992
0.000 0.000 14.336
0.000 2.021 4.484
0.000 2.021 26.697
1.750 1.010 16.844
1.750 1.010 24.189
0.000 0.000 22.165
0.000 2.021 12.312
1.750 1.010 2.460
```

Results
density of states at the Fermi level	11.687	states/eV per cell
space-group type	R3m, No. 160
formation energy without anion corrections	16	kJ/mol of formula units
uncorrected energy	-3.915	eV per atom